# 1
# PdS (PBE, optimized geometry)
data_PdS
_chemical_formula_sum 'Pd2 S2'
_symmetry_space_group_name_H-M 'P m m n'
_symmetry_Int_Tables_number 59
_cell_length_a 3.5854
_cell_length_b 5.0319
_cell_length_c 3.5881
_cell_angle_alpha 90.00
_cell_angle_beta 90.00
_cell_angle_gamma 90.00
loop_
_symmetry_equiv_pos_as_xyz
'x,y,z'
'-x,-y,-z'
'-x+1/2,-y+1/2,z'
'x+1/2,y+1/2,-z'
'x+1/2,-y,-z'
'-x+1/2,y,z'
'-x,y+1/2,-z'
'x,-y+1/2,z'
loop_
_atom_site_label
_atom_site_type_symbol
_atom_site_fract_x
_atom_site_fract_y
_atom_site_fract_z
Pd1 Pd 0.2500 0.2500 0.2382
S1 S 0.2500 0.7500 0.2611
# volume = 64.7 Å³/cell
# DFT total energy = -9.60 eV/f.u.

***

# 2
# PdS (PBE, optimized geometry)
data_PdS
_chemical_formula_sum 'Pd1 S1'
_symmetry_space_group_name_H-M 'P -6 m 2'
_symmetry_Int_Tables_number 187
_symmetry_space_group_name_Hall 'P -6 2'
_cell_length_a 3.4479
_cell_length_b 3.4479
_cell_length_c 3.2118
_cell_angle_alpha 90.00
_cell_angle_beta 90.00
_cell_angle_gamma 120.00
loop_
_atom_site_label
_atom_site_type_symbol
_atom_site_fract_x
_atom_site_fract_y
_atom_site_fract_z
Pd1 Pd 0.0000 0.0000 0.0000
S1 S 0.6667 0.3333 0.5000
# volume = 33.1 Å³/cell
# DFT total energy = -9.29 eV/f.u.

***

# 3
# PdS4 (PBE, optimized geometry)
data_PdS4
_chemical_formula_sum 'Pd2 S8'
_symmetry_space_group_name_H-M 'P 1 2/c 1'
_symmetry_Int_Tables_number 13
_cell_length_a 5.9462
_cell_length_b 6.4734
_cell_length_c 5.4892
_cell_angle_alpha 90.00
_cell_angle_beta 107.58
_cell_angle_gamma 90.00
loop_
_symmetry_equiv_pos_as_xyz
'x,y,z'
'-x,-y,-z'
'-x,y,-z+1/2'
'x,-y,z+1/2'
loop_
_atom_site_label
_atom_site_type_symbol
_atom_site_fract_x
_atom_site_fract_y
_atom_site_fract_z
Pd1 Pd 0.0000 0.1607 0.2500
S1 S 0.2589 0.1236 0.9912
S2 S 0.2921 0.3390 0.7463
# volume = 201.4 Å³/cell
# DFT total energy = -21.02 eV/f.u.